CrCuMo2 | PBE-GGA | optimized geometry

a = 3.839 Å, b = 3.839 Å, c = 3.759 Å
α = 90.00°, β = 90.00°, γ = 90.00°
Fractional coordinates of all 4 atoms:
Cr: 0.500 0.000 0.500
Cu: 0.000 0.500 0.500
Mo: 0.000 0.000 0.000
Mo: 0.500 0.500 0.000

Calculated values
- Excess energy over the best structure of this formula in the dataset: 59 meV/atom
- Calculated formation energy: 22 kJ/mol of atoms
- D(E_F): 1.9 states/eV/cell